{
  "formula": "K2Pu2AgS6",
  "functional": "PBE",
  "state": "optimized geometry",
  "lattice": [[6.9023, -0.1397, 0.1017], [-3.5329, 5.9312, 0.1017], [-1.1515, -1.9793, 7.4488]],
  "species": ["K", "S", "S", "S", "S", "S", "Pu", "Pu", "S", "K", "Ag"],
  "frac_coords": [[0.1560, 0.8440, 0.0000], [0.9439, 0.5808, 0.3029], [0.4192, 0.0561, 0.6971], [0.7182, 0.7182, 0.6898], [0.2818, 0.2818, 0.3102], [0.0561, 0.4192, 0.6971], [0.3356, 0.6644, 0.5000], [0.6644, 0.3356, 0.5000], [0.5808, 0.9439, 0.3029], [0.8440, 0.1560, 0.0000], [0.0000, 0.0000, 0.5000]],
  "crystal_system": "monoclinic",
  "magmom_total_mub_per_cell": 7.00,
  "dos_ef_per_ev_atom": 1.09,
  "raw_formation_energy_ev_per_fu": -12.78,
  "dft_energy_ev_per_atom": -6.478
}

***

{
  "formula": "K3Pu3AgS8",
  "functional": "PBE",
  "state": "optimized geometry",
  "lattice": [[-2.2676, 0.4740, -7.7570], [-5.2506, -1.8778, 5.8682], [2.6816, 8.2404, -0.3695]],
  "species": ["S", "K", "S", "S", "K", "Pu", "Pu", "K", "S", "Ag", "Pu", "S", "S", "S", "S"],
  "frac_coords": [[0.2706, 0.0392, 0.3099], [0.0000, 0.0000, 0.0000], [0.7294, 0.9608, 0.6901], [0.2657, 0.5315, 0.2974], [0.5000, 0.5000, 0.0000], [0.5000, 0.0000, 0.5000], [0.0000, 0.5000, 0.5000], [0.0000, 0.5000, 0.0000], [0.2565, 0.9511, 0.7074], [0.0000, 0.0000, 0.5000], [0.5000, 0.5000, 0.5000], [0.7707, 0.5394, 0.3099], [0.2293, 0.4606, 0.6901], [0.7435, 0.0489, 0.2926], [0.7343, 0.4685, 0.7026]],
  "crystal_system": "monoclinic",
  "magmom_total_mub_per_cell": 4.02,
  "dos_ef_per_ev_atom": 1.91,
  "raw_formation_energy_ev_per_fu": -18.47,
  "dft_energy_ev_per_atom": -6.709
}